! PBE CePr2Ho4, optimized geometry; values from VASP
! Energy = -4.26 eV/atom
! Energy relative to the elements = 0.57 eV/atom
&SYSTEM
  ibrav = 0, nat = 7, ntyp = 3
/
ATOMIC_SPECIES
Ce 140.12 Ce.upf
Pr 140.91 Pr.upf
Ho 164.93 Ho.upf
CELL_PARAMETERS angstrom
-0.4376 5.2136 1.5742
-3.3836 -1.4978 4.0199
8.5936 -2.8805 2.4471
ATOMIC_POSITIONS crystal
Ce 0.0000 0.0000 0.0000
Pr 0.6270 0.6270 0.2540
Pr 0.3730 0.3730 0.7460
Ho 0.8294 0.8294 0.6587
Ho 0.1706 0.1706 0.3412
Ho 0.0000 0.5000 0.0000
Ho 0.5000 0.0000 0.0000

=====

! PBE NpTlGe2, optimized geometry; values from VASP
! Energy = -6.15 eV/atom
! Energy relative to the elements = -0.02 eV/atom
&SYSTEM
  ibrav = 0, nat = 4, ntyp = 3
/
ATOMIC_SPECIES
Np 237.00 Np.upf
Tl 204.38 Tl.upf
Ge 72.64 Ge.upf
CELL_PARAMETERS angstrom
4.0796 0.0000 0.0000
0.0000 4.6099 0.0000
0.0000 0.0000 4.6099
ATOMIC_POSITIONS crystal
Np 0.5000 0.0000 0.0000
Tl 0.5000 0.5000 0.5000
Ge 0.0000 0.0000 0.5000
Ge 0.0000 0.5000 0.0000

=====

! PBE La4Hg2Cl, optimized geometry; values from VASP
! Energy relative to the elements, uncorrected = -4.20 eV/f.u.
! Energy = -3.77 eV/atom
&SYSTEM
  ibrav = 0, nat = 7, ntyp = 3
/
ATOMIC_SPECIES
Cl 35.45 Cl.upf
Hg 200.59 Hg.upf
La 138.91 La.upf
CELL_PARAMETERS angstrom
5.5041 0.0000 0.0000
0.0000 5.5041 0.0000
2.7521 2.7521 7.7377
ATOMIC_POSITIONS crystal
Cl 0.0000 0.0000 0.0000
Hg 0.6141 0.6141 0.7717
Hg 0.3859 0.3859 0.2283
La 0.8120 0.8120 0.3760
La 0.1880 0.1880 0.6240
La 0.0000 0.5000 0.0000
La 0.5000 0.0000 0.0000

=====

! PBE TiInFeAs2, optimized geometry; values from VASP
! Energy = -5.21 eV/atom
! Energy relative to the elements = 0.46 eV/atom
&SYSTEM
  ibrav = 0, nat = 5, ntyp = 4
/
ATOMIC_SPECIES
As 74.92 As.upf
Ti 47.87 Ti.upf
Fe 55.84 Fe.upf
In 114.82 In.upf
CELL_PARAMETERS angstrom
-2.5945 -3.4640 -1.2585
4.0318 -2.2989 -1.9843
0.7886 -2.0252 3.9485
ATOMIC_POSITIONS crystal
As 0.0000 0.0000 0.5000
As 0.5000 0.0000 0.0000
Ti 0.5000 0.5000 0.5000
Fe 0.0000 0.0000 0.0000
In 0.0000 0.5000 0.0000

=====

! PBE TaCS2Cl, optimized geometry; values from VASP
! Energy relative to the elements, uncorrected = 5.83 eV/f.u.
! Energy = -5.07 eV/atom
&SYSTEM
  ibrav = 0, nat = 5, ntyp = 4
/
ATOMIC_SPECIES
S 32.06 S.upf
Cl 35.45 Cl.upf
C 12.01 C.upf
Ta 180.95 Ta.upf
CELL_PARAMETERS angstrom
-2.8640 -2.0534 2.1553
-0.2357 -2.8250 -3.0046
2.9371 -2.1835 1.8226
ATOMIC_POSITIONS crystal
S 0.0000 0.5000 0.0000
S 0.5000 0.0000 0.0000
Cl 0.0000 0.0000 0.5000
C 0.0000 0.0000 0.0000
Ta 0.5000 0.5000 0.5000

=====

! PBE CsPtI, optimized geometry; values from VASP
! Energy relative to the elements, uncorrected = -1.69 eV/f.u.
! Energy = -3.38 eV/atom
&SYSTEM
  ibrav = 0, nat = 6, ntyp = 3
/
ATOMIC_SPECIES
Cs 132.91 Cs.upf
I 126.90 I.upf
Pt 195.08 Pt.upf
CELL_PARAMETERS angstrom
-0.9671 4.1161 0.6522
-2.4381 -3.3059 4.0237
7.9142 3.1108 7.4769
ATOMIC_POSITIONS crystal
Cs 0.7247 0.1802 0.1686
Cs 0.0745 0.2796 0.5895
I 0.8996 0.7318 0.3794
I 0.2880 0.6411 0.8778
Pt 0.4912 0.2643 0.8796
Pt 0.8648 0.9968 0.8796

=====

! PBE NaScRh3, optimized geometry; values from VASP
! Energy = -5.30 eV/atom
! Energy relative to the elements = 0.64 eV/atom
&SYSTEM
  ibrav = 0, nat = 5, ntyp = 3
/
ATOMIC_SPECIES
Sc 44.96 Sc.upf
Na 22.99 Na.upf
Rh 102.91 Rh.upf
CELL_PARAMETERS angstrom
-3.7152 2.1357 -2.0435
-1.8436 -4.2398 -1.0794
-2.3105 -0.0511 4.1472
ATOMIC_POSITIONS crystal
Sc 0.0000 0.0000 0.0000
Na 0.5000 0.5000 0.5000
Rh 0.0000 0.5000 0.0000
Rh 0.0000 0.0000 0.5000
Rh 0.5000 0.0000 0.0000

=====

! PBE Y3TiPt, optimized geometry; values from VASP
! Energy = -6.13 eV/atom
! Energy relative to the elements = 0.53 eV/atom
&SYSTEM
  ibrav = 0, nat = 5, ntyp = 3
/
ATOMIC_SPECIES
Y 88.91 Y.upf
Pt 195.08 Pt.upf
Ti 47.87 Ti.upf
CELL_PARAMETERS angstrom
5.1518 0.0000 0.0000
0.0000 5.1518 0.0000
0.0000 0.0000 5.1518
ATOMIC_POSITIONS crystal
Y 0.0000 0.5000 0.0000
Y 0.0000 0.0000 0.5000
Y 0.5000 0.0000 0.0000
Pt 0.5000 0.5000 0.5000
Ti 0.0000 0.0000 0.0000

=====

! PBE NiMo3Rh, optimized geometry; values from VASP
! Energy = -7.79 eV/atom
! Energy relative to the elements = 1.33 eV/atom
&SYSTEM
  ibrav = 0, nat = 5, ntyp = 3
/
ATOMIC_SPECIES
Ni 58.69 Ni.upf
Mo 95.94 Mo.upf
Rh 102.91 Rh.upf
CELL_PARAMETERS angstrom
-1.2718 -3.7133 -2.0444
3.8203 -1.9289 1.1271
-1.8367 -1.4409 3.7598
ATOMIC_POSITIONS crystal
Ni 0.0000 0.0000 0.0000
Mo 0.0000 0.5000 0.0000
Mo 0.0000 0.0000 0.5000
Mo 0.5000 0.0000 0.0000
Rh 0.5000 0.5000 0.5000

=====

! PBE SmThRhAu, optimized geometry; values from VASP
! Energy = -6.37 eV/atom
! Energy relative to the elements = -0.67 eV/atom
&SYSTEM
  ibrav = 0, nat = 4, ntyp = 4
/
ATOMIC_SPECIES
Rh 102.91 Rh.upf
Au 196.97 Au.upf
Sm 150.36 Sm.upf
Th 232.04 Th.upf
CELL_PARAMETERS angstrom
5.1202 0.0000 0.0000
2.5601 4.4342 0.0000
2.5601 1.4781 4.1806
ATOMIC_POSITIONS crystal
Rh 0.0000 0.0000 0.0000
Au 0.5000 0.5000 0.5000
Sm 0.2500 0.2500 0.2500
Th 0.7500 0.7500 0.7500

=====

! PBE TbPm2Dy3Se6, optimized geometry; values from VASP
! Energy relative to the elements, uncorrected = -21.42 eV/f.u.
! Energy = -5.86 eV/atom
&SYSTEM
  ibrav = 0, nat = 12, ntyp = 4
/
ATOMIC_SPECIES
Tb 158.93 Tb.upf
Pm 145.00 Pm.upf
Dy 162.50 Dy.upf
Se 78.96 Se.upf
CELL_PARAMETERS angstrom
-4.2469 -2.6536 5.0648
5.9590 -3.4331 -1.8532
2.8716 5.4849 3.6184
ATOMIC_POSITIONS crystal
Tb 0.0000 0.0000 0.0000
Pm 0.3328 0.6672 0.0000
Pm 0.6672 0.3328 0.0000
Dy 0.1706 0.8294 0.5000
Dy 0.8294 0.1706 0.5000
Dy 0.5000 0.5000 0.5000
Se 0.9142 0.5869 0.7429
Se 0.7593 0.7593 0.2600
Se 0.0858 0.4131 0.2571
Se 0.5869 0.9142 0.7429
Se 0.2407 0.2407 0.7400
Se 0.4131 0.0858 0.2571

=====

! PBE CaIn3P, optimized geometry; values from VASP
! Energy = -3.01 eV/atom
! Energy relative to the elements = 0.11 eV/atom
&SYSTEM
  ibrav = 0, nat = 5, ntyp = 3
/
ATOMIC_SPECIES
P 30.97 P.upf
Ca 40.08 Ca.upf
In 114.82 In.upf
CELL_PARAMETERS angstrom
5.2837 0.0000 0.0000
0.0000 5.2837 0.0000
0.0000 0.0000 5.2837
ATOMIC_POSITIONS crystal
P 0.0000 0.0000 0.0000
Ca 0.5000 0.5000 0.5000
In 0.0000 0.5000 0.0000
In 0.0000 0.0000 0.5000
In 0.5000 0.0000 0.0000